1.
# Gd2TiPd PBE optimized geometry
# Calculated volume, Å³ per cell: 93.5
# Formation energy, meV per atom: -255
data_Gd2TiPd
_cell_length_a 3.593
_cell_length_b 3.593
_cell_length_c 7.240
_cell_angle_alpha 90.00
_cell_angle_beta 90.00
_cell_angle_gamma 90.00
_symmetry_space_group_name_H-M 'P 4/m m m'
_symmetry_Int_Tables_number 123
_symmetry_space_group_name_Hall '-P 4 2'
loop_
_atom_site_label
_atom_site_fract_x
_atom_site_fract_y
_atom_site_fract_z
Gd1 0.000 0.000 0.236
Ti1 0.500 0.500 0.500
Pd1 0.500 0.500 0.000

---

2.
# GdTiPd2 PBE optimized geometry
# Calculated volume, Å³ per cell: 76.0
# Formation energy, meV per atom: -533
data_GdTiPd2
_cell_length_a 4.837
_cell_length_b 4.837
_cell_length_c 3.247
_cell_angle_alpha 90.00
_cell_angle_beta 90.00
_cell_angle_gamma 90.00
_symmetry_space_group_name_H-M 'P 4/m m m'
_symmetry_Int_Tables_number 123
_symmetry_space_group_name_Hall '-P 4 2'
loop_
_atom_site_label
_atom_site_fract_x
_atom_site_fract_y
_atom_site_fract_z
Gd1 0.000 0.000 0.000
Ti1 0.500 0.500 0.000
Pd1 0.000 0.500 0.500

---

3.
# GdTiPd2 PBE optimized geometry
# Calculated volume, Å³ per cell: 75.5
# Formation energy, meV per atom: -621
data_GdTiPd2
_cell_length_a 3.232
_cell_length_b 3.232
_cell_length_c 7.227
_cell_angle_alpha 90.00
_cell_angle_beta 90.00
_cell_angle_gamma 90.00
_symmetry_space_group_name_H-M 'P 4/m m m'
_symmetry_Int_Tables_number 123
_symmetry_space_group_name_Hall '-P 4 2'
loop_
_atom_site_label
_atom_site_fract_x
_atom_site_fract_y
_atom_site_fract_z
Gd1 0.000 0.000 0.000
Ti1 0.000 0.000 0.500
Pd1 0.500 0.500 0.299

---

4.
# GdTlPd PBE optimized geometry
# Calculated volume, Å³ per cell: 139.3
# Formation energy, meV per atom: -505
# ΔE to the lowest computed polymorph, meV/atom: 150
data_GdTlPd
_cell_length_a 3.785
_cell_length_b 3.785
_cell_length_c 9.721
_cell_angle_alpha 90.00
_cell_angle_beta 90.00
_cell_angle_gamma 90.00
_symmetry_space_group_name_H-M 'I 4 m m'
_symmetry_Int_Tables_number 107
_symmetry_space_group_name_Hall 'I 4 -2'
loop_
_atom_site_label
_atom_site_fract_x
_atom_site_fract_y
_atom_site_fract_z
Gd1 0.000 0.000 0.000
Tl1 0.000 0.000 0.686
Pd1 0.000 0.000 0.352

---

5.
# GdTlPd PBE optimized geometry
# Calculated volume, Å³ per cell: 207.7
# Formation energy, meV per atom: -655
# ΔE to the lowest computed polymorph, meV/atom: 0
data_GdTlPd
_cell_length_a 7.9098
_cell_length_b 7.9098
_cell_length_c 3.8328
_cell_angle_alpha 90.00
_cell_angle_beta 90.00
_cell_angle_gamma 120.00
_symmetry_space_group_name_H-M 'P -6 2 m'
_symmetry_Int_Tables_number 189
_symmetry_space_group_name_Hall 'P -6 -2'
loop_
_atom_site_label
_atom_site_fract_x
_atom_site_fract_y
_atom_site_fract_z
Gd1 0.0000 0.5971 0.0000
Tl1 0.0000 0.2663 0.5000
Pd1 0.0000 0.0000 0.0000
Pd2 0.3333 0.6667 0.5000

---

6.
# GdTlPd PBE optimized geometry
# Calculated volume, Å³ per cell: 70.6
# Formation energy, meV per atom: -545
# ΔE to the lowest computed polymorph, meV/atom: 110
data_GdTlPd
_cell_length_a 4.7858
_cell_length_b 4.7858
_cell_length_c 3.5612
_cell_angle_alpha 90.00
_cell_angle_beta 90.00
_cell_angle_gamma 120.00
_symmetry_space_group_name_H-M 'P -6 m 2'
_symmetry_Int_Tables_number 187
_symmetry_space_group_name_Hall 'P -6 2'
loop_
_atom_site_label
_atom_site_fract_x
_atom_site_fract_y
_atom_site_fract_z
Gd1 0.0000 0.0000 0.0000
Tl1 0.3333 0.6667 0.5000
Pd1 0.6667 0.3333 0.5000

---

7.
# GdTlPd PBE optimized geometry
# Calculated volume, Å³ per cell: 310.4
# Formation energy, meV per atom: -525
# ΔE to the lowest computed polymorph, meV/atom: 130
data_GdTlPd
_cell_length_a 6.771
_cell_length_b 6.771
_cell_length_c 6.771
_cell_angle_alpha 90.00
_cell_angle_beta 90.00
_cell_angle_gamma 90.00
_symmetry_space_group_name_H-M 'F -4 3 m'
_symmetry_Int_Tables_number 216
_symmetry_space_group_name_Hall 'F -4 2 3'
loop_
_atom_site_label
_atom_site_fract_x
_atom_site_fract_y
_atom_site_fract_z
Gd1 0.000 0.000 0.000
Tl1 0.000 0.000 0.500
Pd1 0.250 0.250 0.250

---

8.
# GdTlPd4 PBE optimized geometry
# Calculated volume, Å³ per cell: 451.4
# Formation energy, meV per atom: -587
data_GdTlPd4
_cell_length_a 7.671
_cell_length_b 7.671
_cell_length_c 7.671
_cell_angle_alpha 90.00
_cell_angle_beta 90.00
_cell_angle_gamma 90.00
_symmetry_space_group_name_H-M 'F -4 3 m'
_symmetry_Int_Tables_number 216
_symmetry_space_group_name_Hall 'F -4 2 3'
loop_
_atom_site_label
_atom_site_fract_x
_atom_site_fract_y
_atom_site_fract_z
Gd1 0.000 0.000 0.000
Tl1 0.250 0.250 0.250
Pd1 0.125 0.125 0.625

---

What did the eighth record say?
# GdTlPd4 PBE optimized geometry
# Calculated volume, Å³ per cell: 451.4
# Formation energy, meV per atom: -587
data_GdTlPd4
_cell_length_a 7.671
_cell_length_b 7.671
_cell_length_c 7.671
_cell_angle_alpha 90.00
_cell_angle_beta 90.00
_cell_angle_gamma 90.00
_symmetry_space_group_name_H-M 'F -4 3 m'
_symmetry_Int_Tables_number 216
_symmetry_space_group_name_Hall 'F -4 2 3'
loop_
_atom_site_label
_atom_site_fract_x
_atom_site_fract_y
_atom_site_fract_z
Gd1 0.000 0.000 0.000
Tl1 0.250 0.250 0.250
Pd1 0.125 0.125 0.625

---

> Look up the formation energy of the seventh one.

-525 meV per atom

---

> Which value of calculated volume does entry 1 give?

93.5 Å³ per cell